1.
# La2MgP4Pt3, optimized geometry, DFT PBE
data_La2MgP4Pt3
_cell_length_a 4.3417
_cell_length_b 4.3417
_cell_length_c 9.8997
_cell_angle_alpha 90.00
_cell_angle_beta 90.00
_cell_angle_gamma 90.00
_space_group_name_H-M_alt 'P -4 m 2'
_space_group_IT_number 115
loop_
_space_group_symop_operation_xyz
'x,y,z'
'y,-x,-z'
'-x,-y,z'
'-y,x,-z'
'-x,y,z'
'-y,-x,-z'
'x,-y,z'
'y,x,-z'
loop_
_atom_site_label
_atom_site_type_symbol
_atom_site_fract_x
_atom_site_fract_y
_atom_site_fract_z
La1 La 0.0000 0.5000 0.2377
Mg1 Mg 0.0000 0.0000 0.5000
P1 P 0.0000 0.0000 0.0000
P2 P 0.0000 0.5000 0.6418
P3 P 0.5000 0.5000 0.0000
Pt1 Pt 0.0000 0.5000 0.8915
Pt2 Pt 0.5000 0.5000 0.5000
# ΔE_f (eV/atom): -1.034
# Crystal system: tetragonal

2.
# LiTbTm2Te4, optimized geometry, DFT PBE
data_LiTbTm2Te4
_cell_length_a 7.4721
_cell_length_b 4.2883
_cell_length_c 7.4953
_cell_angle_alpha 90.00
_cell_angle_beta 109.14
_cell_angle_gamma 90.00
_space_group_name_H-M_alt 'P 1 2/m 1'
_space_group_IT_number 10
loop_
_space_group_symop_operation_xyz
'x,y,z'
'-x,-y,-z'
'-x,y,-z'
'x,-y,z'
loop_
_atom_site_label
_atom_site_type_symbol
_atom_site_fract_x
_atom_site_fract_y
_atom_site_fract_z
Li1 Li 0.0000 0.0000 0.0000
Tb1 Tb 0.0000 0.5000 0.5000
Tm1 Tm 0.5000 0.0000 0.5000
Tm2 Tm 0.5000 0.5000 0.0000
Te1 Te 0.2469 0.5000 0.2430
Te2 Te 0.2501 0.0000 0.7578
# Crystal system: monoclinic
# Uncorrected formation energy (eV per atom): -1.270

3.
# La6PrHo2Th, optimized geometry, DFT PBE
data_La6PrHo2Th
_cell_length_a 9.4111
_cell_length_b 15.1409
_cell_length_c 10.1459
_cell_angle_alpha 90.00
_cell_angle_beta 100.91
_cell_angle_gamma 90.00
_space_group_name_H-M_alt 'C 1 2/c 1'
_space_group_IT_number 15
loop_
_space_group_symop_operation_xyz
'x,y,z'
'-x,-y,-z'
'-x,y,-z+1/2'
'x,-y,z+1/2'
'x+1/2,y+1/2,z'
'-x+1/2,-y+1/2,-z'
'-x+1/2,y+1/2,-z+1/2'
'x+1/2,-y+1/2,z+1/2'
loop_
_atom_site_label
_atom_site_type_symbol
_atom_site_fract_x
_atom_site_fract_y
_atom_site_fract_z
La1 La 0.0737 0.1796 0.4447
La2 La 0.0951 0.3995 0.6199
La3 La 0.2140 0.2192 0.8104
Pr1 Pr 0.0000 0.0206 0.7500
Ho1 Ho 0.2373 0.0443 0.0494
Th1 Th 0.0000 0.4046 0.2500
# ΔE_f (eV/atom): 0.125
# Crystal system: monoclinic

4.
# Ge3IrS, optimized geometry, DFT PBE
data_Ge3IrS
_cell_length_a 4.7931
_cell_length_b 4.7931
_cell_length_c 4.7931
_cell_angle_alpha 90.00
_cell_angle_beta 90.00
_cell_angle_gamma 90.00
_space_group_name_H-M_alt 'P m -3 m'
_space_group_IT_number 221
_space_group_name_Hall '-P 4 2 3'
loop_
_atom_site_label
_atom_site_type_symbol
_atom_site_fract_x
_atom_site_fract_y
_atom_site_fract_z
Ge1 Ge 0.0000 0.0000 0.5000
Ir1 Ir 0.0000 0.0000 0.0000
S1 S 0.5000 0.5000 0.5000
# Crystal system: cubic
# Uncorrected formation energy (eV per atom): 0.185
# E above lowest polymorph (eV/atom): 0.298

5.
# Tb4Pm3Nd4, optimized geometry, DFT PBE
data_Tb4Pm3Nd4
_cell_length_a 3.6252
_cell_length_b 9.5286
_cell_length_c 22.1830
_cell_angle_alpha 90.00
_cell_angle_beta 90.00
_cell_angle_gamma 90.00
_space_group_name_H-M_alt 'I m m m'
_space_group_IT_number 71
_space_group_name_Hall '-I 2 2'
loop_
_atom_site_label
_atom_site_type_symbol
_atom_site_fract_x
_atom_site_fract_y
_atom_site_fract_z
Tb1 Tb 0.0000 0.0000 0.2403
Tb2 Tb 0.0000 0.1828 0.0000
Pm1 Pm 0.0000 0.0000 0.5000
Pm2 Pm 0.0000 0.5000 0.3920
Nd1 Nd 0.0000 0.3227 0.1455
# ΔE_f (eV/atom): 0.128
# Crystal system: orthorhombic
# E above lowest polymorph (eV/atom): 0.000

6.
# Ac3La2Sn2, optimized geometry, DFT PBE
data_Ac3La2Sn2
_cell_length_a 18.5335
_cell_length_b 3.8331
_cell_length_c 8.2383
_cell_angle_alpha 90.00
_cell_angle_beta 114.54
_cell_angle_gamma 90.00
_space_group_name_H-M_alt 'C 1 2/m 1'
_space_group_IT_number 12
loop_
_space_group_symop_operation_xyz
'x,y,z'
'-x,-y,-z'
'-x,y,-z'
'x,-y,z'
'x+1/2,y+1/2,z'
'-x+1/2,-y+1/2,-z'
'-x+1/2,y+1/2,-z'
'x+1/2,-y+1/2,z'
loop_
_atom_site_label
_atom_site_type_symbol
_atom_site_fract_x
_atom_site_fract_y
_atom_site_fract_z
Ac1 Ac 0.0000 0.0000 0.0000
Ac2 Ac 0.2217 0.0000 0.2148
La1 La 0.0823 0.0000 0.6789
Sn1 Sn 0.1018 0.5000 0.3777
# ΔE_f (eV/atom): -0.273
# Crystal system: monoclinic

7.
# SrTlBPb, optimized geometry, DFT PBE
data_SrTlBPb
_cell_length_a 11.2779
_cell_length_b 4.0170
_cell_length_c 5.0503
_cell_angle_alpha 90.00
_cell_angle_beta 111.48
_cell_angle_gamma 90.00
_space_group_name_H-M_alt 'C 1 m 1'
_space_group_IT_number 8
loop_
_space_group_symop_operation_xyz
'x,y,z'
'x,-y,z'
'x+1/2,y+1/2,z'
'x+1/2,-y+1/2,z'
loop_
_atom_site_label
_atom_site_type_symbol
_atom_site_fract_x
_atom_site_fract_y
_atom_site_fract_z
Sr1 Sr 0.0000 0.0000 0.0000
Tl1 Tl 0.1602 0.5000 0.6364
B1 B 0.2043 0.5000 0.1610
Pb1 Pb 0.3326 0.0000 0.3569
# ΔE_f (eV/atom): 0.254
# Crystal system: monoclinic
# E above lowest polymorph (eV/atom): 0.005

8.
# Th5BC8, optimized geometry, DFT PBE
data_Th5BC8
_cell_length_a 6.6710
_cell_length_b 6.6710
_cell_length_c 9.8576
_cell_angle_alpha 90.00
_cell_angle_beta 90.00
_cell_angle_gamma 90.00
_space_group_name_H-M_alt 'I -4'
_space_group_IT_number 82
loop_
_space_group_symop_operation_xyz
'x,y,z'
'y,-x,-z'
'-x,-y,z'
'-y,x,-z'
'x+1/2,y+1/2,z+1/2'
'y+1/2,-x+1/2,-z+1/2'
'-x+1/2,-y+1/2,z+1/2'
'-y+1/2,x+1/2,-z+1/2'
loop_
_atom_site_label
_atom_site_type_symbol
_atom_site_fract_x
_atom_site_fract_y
_atom_site_fract_z
Th1 Th 0.0000 0.0000 0.0000
Th2 Th 0.1316 0.7705 0.3677
B1 B 0.0000 0.5000 0.7500
C1 C 0.1133 0.7354 0.6583
C2 C 0.1806 0.7416 0.1130
# ΔE_f (eV/atom): 0.200
# Crystal system: tetragonal

no.,N(E_F) (states/eV/cell)
1,2.93
2,2.96
3,61.21
4,3.50
5,31.87
6,21.08
7,3.29
8,10.70